No. 1
The following is a PBE-GGA calculation of Np3As4Ir2 after structural relaxation, from Alexandria.

```
Np3As4Ir2
1.0
-0.5401 -4.2795 0.7632
5.3813 1.3311 -1.2985
-0.2437 1.4796 8.1248
As Np Ir
4 3 2
Cartesian
2.8025 0.9301 7.1994
1.7950 -2.3989 0.3901
4.3154 -1.9436 4.7269
0.2821 0.4749 2.8626
0.0000 0.0000 0.0000
1.3320 -1.4348 5.4686
3.2655 -0.0340 2.1208
3.6754 0.4184 4.9475
0.9221 -1.8871 2.6420
```

Properties
Mass density: 12509 kg/m3
Space group: C2/m
Total energy: -8.759 eV per atom

---

No. 2
The following is a PBE-GGA calculation of NpAs12Ir4 after structural relaxation, from Alexandria.

```
NpAs12Ir4
1.0
-4.6740 -5.6032 -1.7801
5.9285 -0.1250 -4.6097
2.3254 -0.8371 7.0925
As Ir Np
12 4 1
Cartesian
1.0997 -5.3116 -0.9081
1.9658 -4.4717 2.5272
4.2013 -3.5439 -0.1927
-0.6215 -3.0214 0.8954
1.6140 -2.0936 -1.8245
2.4801 -1.2537 1.6108
-1.3667 -5.0649 2.5810
2.0121 -3.9111 -3.8519
-1.5191 -5.0064 -1.6958
4.9465 -1.5004 -1.8783
1.5677 -2.6542 4.5546
5.0989 -1.5589 2.3985
1.7899 -3.2826 0.3513
1.1627 -0.4185 3.5463
2.9642 -0.0625 -2.3048
-2.3370 -2.8016 -0.8901
0.0000 0.0000 0.0000
```

Properties
Mass density: 9698 kg/m3
Space group: Im-3
Total energy: -6.507 eV per atom